Compound: DyHoIrPd
Source: the Alexandria database
Functional: GGA-PBE
Structure: optimized geometry

Calculated formation energy: -0.917 eV per atom
Symmetry: F-43m (216)
Crystal system: cubic

The structure in POSCAR format:
```
DyHoIrPd
1.0
4.886 0.000 0.000
2.443 4.231 0.000
2.443 1.410 3.989
Ir Ho Pd Dy
1 1 1 1
Direct
0.000 0.000 0.000
0.750 0.750 0.750
0.500 0.500 0.500
0.250 0.250 0.250
```

Compound: DyHoIrPt
Source: the Alexandria database
Functional: GGA-PBE
Structure: optimized geometry

Calculated formation energy: -1.051 eV per atom
Energy above the most stable polymorph in this dataset: 0 meV per atom
Symmetry: P4mm (99)
Crystal system: tetragonal

The structure in POSCAR format:
```
DyHoIrPt
1.0
-3.379 -0.177 0.664
0.673 -1.521 3.021
0.276 6.200 3.061
Dy Ho Ir Pt
1 1 1 1
Direct
0.500 0.500 0.099
0.500 0.500 0.614
0.000 0.000 0.855
0.000 0.000 0.359
```

Question: What is the formula in the first record?
Answer: DyHoIrPd